Record 1
ScHg2BF SCAN single point on PBEsol structure; raw formation energy = 0.371 eV/f.u.; total energy = -32.23 eV per atom
1.0
3.9941 0.0000 0.0000
0.0000 4.9855 0.0000
0.0000 0.0000 4.9855
B F Hg Sc
1 1 2 1
Direct
0.5000 0.5000 0.5000
0.0000 0.0000 0.0000
0.0000 0.5000 0.0000
0.0000 0.0000 0.5000
0.5000 0.0000 0.0000

Record 2
B2IF SCAN single point on PBEsol structure; raw formation energy = 3.419 eV/f.u.; total energy = -12.93 eV per atom
1.0
-1.4050 1.5842 -3.0694
1.5400 -2.6788 -2.0875
-6.6802 -3.8460 3.3379
B I F
4 2 2
Direct
0.6250 0.3750 0.2500
0.1250 0.3750 0.7500
0.6250 0.8750 0.2500
0.6250 0.3750 0.7500
0.2500 0.7500 0.5000
0.0000 0.0000 0.0000
0.7500 0.2500 0.5000
0.5000 0.5000 0.0000

Record 3
BIN2F SCAN single point on PBEsol structure; raw formation energy = 5.234 eV/f.u.; total energy = -12.21 eV per atom
1.0
-0.3424 -0.4687 -3.1849
2.9431 -1.3433 -0.1187
-2.7315 -6.0896 1.1898
I F N B
1 1 2 1
Direct
0.0000 0.0000 0.5000
0.5000 0.5000 0.5000
0.5000 0.0000 0.0000
0.0000 0.5000 0.0000
0.0000 0.0000 0.0000

Record 4
BIO2F SCAN single point on PBEsol structure; raw formation energy = -1.137 eV/f.u.; total energy = -12.26 eV per atom
1.0
3.2332 0.0000 0.0000
0.0000 3.2332 0.0000
0.0000 0.0000 6.3421
B O F I
1 2 1 1
Direct
0.0000 0.0000 0.0000
0.0000 0.5000 0.0000
0.5000 0.0000 0.0000
0.5000 0.5000 0.5000
0.0000 0.0000 0.5000

Record 5
InBF2 SCAN single point on PBEsol structure; raw formation energy = -1.602 eV/f.u.; total energy = -12.37 eV per atom
1.0
-0.8342 -5.1801 -1.0992
1.5872 3.4292 -4.2929
5.0223 -0.4212 -1.8266
F In B
4 2 2
Direct
0.3750 0.7500 0.8750
0.3750 0.2500 0.3750
0.3750 0.7500 0.3750
0.8750 0.2500 0.3750
0.0000 0.0000 0.0000
0.7500 0.5000 0.7500
0.5000 0.0000 0.5000
0.2500 0.5000 0.2500

Record 6
InTc2BF SCAN single point on PBEsol structure; raw formation energy = 5.434 eV/f.u.; total energy = -21.81 eV per atom
1.0
4.0436 0.0000 0.0000
0.0000 4.0436 0.0000
0.0000 0.0000 4.2306
F Tc B In
1 2 1 1
Direct
0.0000 0.0000 0.0000
0.5000 0.0000 0.0000
0.0000 0.5000 0.0000
0.0000 0.0000 0.5000
0.5000 0.5000 0.5000

Record 7
B2IrF SCAN single point on PBEsol structure; raw formation energy = 3.706 eV/f.u.; total energy = -21.45 eV per atom
1.0
-1.3472 3.0354 1.8155
-3.7275 0.6496 0.0930
-1.9150 -0.4261 3.2366
F B Ir
1 2 1
Direct
0.0000 0.0000 0.0000
0.2500 0.2500 0.2500
0.7500 0.7500 0.7500
0.5000 0.5000 0.5000

Record 8
BIrOF2 SCAN single point on PBEsol structure; raw formation energy = -3.249 eV/f.u.; total energy = -19.02 eV per atom
1.0
-2.0067 1.2253 1.0076
-2.3963 -3.7675 -0.1906
1.3927 -1.0934 4.1033
Ir O B F
1 1 1 2
Direct
0.5000 0.5000 0.5000
0.5000 0.0000 0.0000
0.0000 0.0000 0.0000
0.0000 0.5000 0.0000
0.0000 0.0000 0.5000